Crystalline TlNiAgN2 at its relaxed geometry. Source: the Alexandria database, functional PBE-GGA.

a = 4.2851 Å, b = 4.9305 Å, c = 4.2851 Å
α = 90.00°, β = 90.00°, γ = 90.00°
Closest atoms and distances in Å follow each position.
Sites, in units of the cell vectors:
Ni 0.0000 0.5000 0.0000  2 Tl 2.47
Tl 0.0000 0.0000 0.0000  4 N 2.14
Ag 0.5000 0.5000 0.5000  4 Ni 3.03, 8 N 3.27
N 0.0000 0.0000 0.5000  2 Tl 2.14
N 0.5000 0.0000 0.0000  2 Tl 2.14

Properties
space-group type = P4/mmm, No. 123
formation energy from raw total energies = 2.171 eV/atom



Crystalline Y2NiAgN at its relaxed geometry. Source: the Alexandria database, functional PBE-GGA.

a = 5.5076 Å, b = 3.7993 Å, c = 5.5076 Å
α = 90.00°, β = 90.00°, γ = 90.00°
Closest atoms and distances in Å follow each position.
Sites, in units of the cell vectors:
Y 0.0000 0.0000 0.5000  2 Ag 2.75
Y 0.5000 0.0000 0.0000  2 Ag 2.75
Ni 0.5000 0.5000 0.5000  8 Y 3.35
Ag 0.0000 0.0000 0.0000  2 N 1.90
N 0.0000 0.5000 0.0000  2 Ag 1.90

Properties
space-group type = P4/mmm, No. 123
formation energy from raw total energies = 0.834 eV/atom



> Which value of formation energy from raw total energies does entry 1 give?

2.171 eV/atom